Entry 1:
A plane-wave DFT calculation with PBE-GGA was carried out for a relaxed NiC crystal.

abc: 2.7989 2.7989 4.9037
angles: 90.00 90.00 120.00
Closest atoms and distances in Å follow each position.
Space group P6_3/mmc (No. 194)
Unique sites:
Ni (0.0000, 0.0000, 0.0000)  6 C 2.03
C (0.3333, 0.6667, 0.2500)  6 Ni 2.03

Computed properties:
The calculation puts the total magnetic moment at 0.00 μB/cell. The calculation puts the formation enthalpy at 0 K at 0.862 eV/atom. Its final energy is -0.2441 hartree per atom. For the density of states at the Fermi level, the calculation gives 2.92 states/eV/cell.



Entry 2:
A plane-wave DFT calculation with PBE-GGA was carried out for a relaxed CsSe2S crystal.

abc: 7.1513 18.6000 5.8685
angles: 90.00 111.47 90.00
Closest atoms and distances in Å follow each position.
Space group C2/c (No. 15)
Unique sites:
Cs (0.0000, 0.1710, 0.2500)  4 S 3.59-3.94, 4 Se 3.89-4.00
Se (0.0974, 0.3755, 0.1135)  1 S 2.30, 1 Se 2.48
S (0.0000, 0.3127, 0.7500)  2 Se 2.30

Computed properties:
The calculation puts the total magnetic moment at 0.00 μB/cell. Its formation energy without anion corrections is -0.4774 eV per atom. Its final energy is -0.1273 hartree per atom. For the density of states at the Fermi level, the calculation gives 4.82 states/eV/cell.



Entry 3:
A plane-wave DFT calculation with PBE-GGA was carried out for a relaxed RbSnF3 crystal.

abc: 4.2643 4.2643 14.7575
angles: 90.00 90.00 120.00
Closest atoms and distances in Å follow each position.
Space group P6_3/mmc (No. 194)
Unique sites:
Rb (0.0000, 0.0000, 0.0000)  6 F 2.86
Sn (0.3333, 0.6667, 0.2500)  5 F 2.24-2.46
F (0.0000, 0.0000, 0.2500)  3 Sn 2.46
F (0.3333, 0.6667, 0.0983)  1 Sn 2.24

Computed properties:
The calculation puts the total magnetic moment at 0.00 μB/cell. Its formation energy without anion corrections is -2.4030 eV per atom. Its final energy is -0.1661 hartree per atom. For the density of states at the Fermi level, the calculation gives 0.00 states/eV/cell.